First-principles (GGA-PBE) data for an optimized crystal structure of TbPm3Sm6Dy2, as listed in Alexandria.

POSCAR file:
```
TbPm3Sm6Dy2
1.0
3.1315 -5.4225 0.0000
3.1315 5.4225 0.0000
-2.0862 0.0000 11.7918
Tb Pm Sm Dy
1 3 6 2
Direct
0.0000 0.0000 0.0000 Tb
0.1667 0.8333 0.5000 Pm
0.5000 0.5000 0.5000 Pm
0.8333 0.1667 0.5000 Pm
0.0828 0.4162 0.2471 Sm
0.2507 0.2507 0.7529 Sm
0.4162 0.0828 0.2471 Sm
0.5838 0.9172 0.7529 Sm
0.7493 0.7493 0.2471 Sm
0.9172 0.5838 0.7529 Sm
0.3334 0.6666 0.0000 Dy
0.6666 0.3334 0.0000 Dy
```

Properties
- Space-group type: C2/m
- Energy of formation: 0.014 eV/atom
- Total magnetization: 0.00 Bohr magnetons per cell